Record 1
## HfInSb3 (GGA-PBE)

Data for a relaxed HfInSb3 crystal.

```
5
Lattice="5.5437 0.0000 0.0000 0.0000 5.5437 0.0000 0.0000 0.0000 5.5437" Properties=species:S:1:pos:R:3 pbc="T T T"
Hf 0.0000 0.0000 0.0000
In 2.7718 2.7718 2.7718
Sb 0.0000 0.0000 2.7718
Sb 0.0000 2.7718 0.0000
Sb 2.7718 0.0000 0.0000
```

Calculated values
Magnetization = 0.00 μB/f.u.
Space-group type = Pm-3m, No. 221
Excess energy over the best structure of this formula in the dataset = 0.000 eV per atom
Uncorrected formation energy = 16.8 kJ/mol of atoms
Uncorrected energy = -24.2 eV per cell


Record 2
## Cs6K2OF (GGA-PBE)

Data for a relaxed Cs6K2OF crystal.

```
10
Lattice="9.6505 0.0000 0.0000 4.7636 8.4497 0.0000 4.7392 -0.1604 9.0320" Properties=species:S:1:pos:R:3 pbc="T T T"
Cs 0.0000 0.0000 0.0000
Cs 6.9343 4.6341 7.7730
Cs 11.7612 8.2743 5.2055
Cs 4.5253 0.0021 0.0036
Cs 11.7601 4.8284 7.7836
Cs 11.8201 -0.0871 5.0893
K 4.5405 4.0664 3.2324
K 9.3408 4.0604 3.2280
O 11.7658 7.4756 7.7304
F 16.5891 7.3876 7.6615
```

Calculated values
Magnetization = 0.00 μB/f.u.
Space-group type = P1, No. 1
Uncorrected formation energy = -78.5 kJ/mol of atoms
Uncorrected energy = -22.3 eV per cell


Record 3
## UVSi2Ir (GGA-PBE)

Data for a relaxed UVSi2Ir crystal.

```
5
Lattice="-2.0370 2.0370 5.0290 2.0370 -2.0370 5.0290 2.0370 2.0370 -5.0290" Properties=species:S:1:pos:R:3 pbc="T T T"
U 0.0000 0.0000 0.0000
V 0.0000 2.0370 2.5145
Si 0.0000 0.0000 3.8563
Si 0.0000 0.0000 6.2017
Ir 2.0370 0.0000 2.5145
```

Calculated values
Magnetization = 3.89 μB/f.u.
Space-group type = I-4m2, No. 119
Uncorrected formation energy = -57.3 kJ/mol of atoms
Uncorrected energy = -43.1 eV per cell


Record 4
## LaPr3Nd4Te8 (GGA-PBE)

Data for a relaxed LaPr3Nd4Te8 crystal.

```
16
Lattice="4.5230 2.6114 7.3884 -4.5230 2.6114 7.3884 0.0000 -5.2227 7.3884" Properties=species:S:1:pos:R:3 pbc="T T T"
La 0.0000 0.0000 0.0000
Pr -2.2615 -1.3057 7.3884
Pr -2.2615 1.3057 14.7768
Pr 0.0000 2.6114 7.3884
Nd -4.5230 0.0000 11.0826
Nd -2.2615 1.3057 3.6942
Nd 2.2615 1.3057 3.6942
Nd 0.0000 0.0000 11.0826
Te 0.0000 0.0000 5.5217
Te -2.2554 -1.3022 12.9047
Te 0.0000 -2.6043 9.2604
Te -2.2554 1.3022 9.2604
Te 2.2554 -1.3022 12.9047
Te 0.0000 2.6043 12.9047
Te 2.2554 1.3022 9.2604
Te 0.0000 0.0000 16.6435
```

Calculated values
Magnetization = 0.00 μB/f.u.
Space-group type = R-3m, No. 166
Uncorrected formation energy = -139.7 kJ/mol of atoms
Uncorrected energy = -86.6 eV per cell


Record 5
## PmSm2Dy2Th2 (GGA-PBE)

Data for a relaxed PmSm2Dy2Th2 crystal.

```
7
Lattice="5.7507 -1.7298 0.0000 5.7507 1.7298 0.0000 -2.1347 0.0000 11.7537" Properties=species:S:1:pos:R:3 pbc="T T T"
Pm 0.0000 0.0000 0.0000
Sm 3.1215 0.0000 4.9936
Sm 6.2452 0.0000 6.7601
Dy 3.1319 0.0000 8.5281
Dy 6.2348 0.0000 3.2256
Th 3.0740 0.0000 1.5886
Th 6.2927 0.0000 10.1652
```

Calculated values
Formation energy = 0.1746 eV per atom
Magnetization = 0.00 μB/f.u.
Space-group type = C2/m, No. 12
Uncorrected energy = -37.0 eV per cell


Record 6
## Sm4Sn2Bi (GGA-PBE)

Data for a relaxed Sm4Sn2Bi crystal.

```
14
Lattice="6.2612 0.0000 0.0000 0.0000 6.6486 0.0000 -1.5144 0.0000 10.3884" Properties=species:S:1:pos:R:3 pbc="T T T"
Sm -0.0105 1.6621 1.6896
Sm 0.2251 4.9864 4.6776
Sm 1.5587 0.0659 7.6031
Sm 1.5587 3.2584 7.6031
Sm 3.1882 3.3902 2.7853
Sm 3.1882 6.5827 2.7853
Sm 4.5217 1.6621 5.7108
Sm 4.7574 4.9864 8.6988
Sn 1.2252 1.6621 4.7287
Sn 1.6190 4.9864 10.3009
Sn 3.1278 1.6621 0.0876
Sn 3.5217 4.9864 5.6597
Bi 0.0266 4.9864 1.5887
Bi 4.7203 1.6621 8.7997
```

Calculated values
Formation energy = -0.5894 eV per atom
Magnetization = 0.00 μB/f.u.
Space-group type = P2_1/m, No. 11
Uncorrected energy = -69.8 eV per cell


Record 7
## BeN2Cl (GGA-PBE)

Data for a relaxed BeN2Cl crystal.

```
4
Lattice="1.4681 0.8476 5.3185 -1.4681 0.8476 5.3185 0.0000 -1.6952 5.3185" Properties=species:S:1:pos:R:3 pbc="T T T"
Be 0.0000 0.0000 0.0000
N 0.0000 0.0000 6.1745
N 0.0000 0.0000 9.7810
Cl 0.0000 0.0000 7.9777
```

Calculated values
Magnetization = 0.00 μB/f.u.
Space-group type = R-3m, No. 166
Excess energy over the best structure of this formula in the dataset = 0.000 eV per atom
Uncorrected formation energy = 93.5 kJ/mol of atoms
Uncorrected energy = -18.3 eV per cell


Record 8
## SrZnMo3 (GGA-PBE)

Data for a relaxed SrZnMo3 crystal.

```
5
Lattice="4.7801 0.0000 0.0000 0.0000 4.7801 0.0000 0.0000 0.0000 4.7801" Properties=species:S:1:pos:R:3 pbc="T T T"
Sr 0.0000 0.0000 0.0000
Zn 2.3900 2.3900 2.3900
Mo 0.0000 0.0000 2.3900
Mo 0.0000 2.3900 0.0000
Mo 2.3900 0.0000 0.0000
```

Calculated values
Formation energy = 2.9945 eV per atom
Magnetization = 0.00 μB/f.u.
Space-group type = Pm-3m, No. 221
Excess energy over the best structure of this formula in the dataset = 1.384 eV per atom
Uncorrected energy = -20.5 eV per cell


Record 9
## TlP2RhO (GGA-PBE)

Data for a relaxed TlP2RhO crystal.

```
5
Lattice="5.1091 0.0000 0.0000 0.0000 5.1091 0.0000 0.0000 0.0000 3.9713" Properties=species:S:1:pos:R:3 pbc="T T T"
Tl 0.0000 0.0000 0.0000
P 0.0000 2.5546 0.0000
P 2.5546 0.0000 0.0000
Rh 2.5546 2.5546 1.9856
O 0.0000 0.0000 1.9856
```

Calculated values
Magnetization = 0.00 μB/f.u.
Space-group type = P4/mmm, No. 123
Excess energy over the best structure of this formula in the dataset = 1.156 eV per atom
Uncorrected formation energy = 131.7 kJ/mol of atoms
Uncorrected energy = -18.7 eV per cell


Record 10
## TbSiPd2 (GGA-PBE)

Data for a relaxed TbSiPd2 crystal.

```
4
Lattice="3.5981 0.0000 0.0000 0.0000 4.0489 0.0000 0.0000 0.0000 5.4490" Properties=species:S:1:pos:R:3 pbc="T T T"
Tb 0.0000 0.0000 0.0000
Si 1.7991 0.0000 2.7245
Pd 1.7991 2.0244 1.3686
Pd 1.7991 2.0244 4.0805
```

Calculated values
Magnetization = 0.00 μB/f.u.
Space-group type = Pmmm, No. 47
Uncorrected formation energy = -66.6 kJ/mol of atoms
Uncorrected energy = -23.2 eV per cell


Record 11
## ScRhW3 (GGA-PBE)

Data for a relaxed ScRhW3 crystal.

```
5
Lattice="4.5486 0.0000 0.0000 0.0000 4.5486 0.0000 0.0000 0.0000 4.5486" Properties=species:S:1:pos:R:3 pbc="T T T"
Sc 0.0000 0.0000 0.0000
Rh 2.2743 2.2743 2.2743
W 0.0000 0.0000 2.2743
W 0.0000 2.2743 0.0000
W 2.2743 0.0000 0.0000
```

Calculated values
Formation energy = 2.4231 eV per atom
Magnetization = 0.00 μB/f.u.
Space-group type = Pm-3m, No. 221
Excess energy over the best structure of this formula in the dataset = 0.837 eV per atom
Uncorrected energy = -40.4 eV per cell


Record 12
## PrPt2Au (GGA-PBE)

Data for a relaxed PrPt2Au crystal.

```
16
Lattice="5.8467 0.0000 0.0000 0.0000 8.7327 0.0000 0.0000 0.0000 8.1814" Properties=species:S:1:pos:R:3 pbc="T T T"
Pr 1.4617 0.0000 1.5546
Pr 1.4617 4.3663 2.4918
Pr 4.3851 0.0000 6.6268
Pr 4.3851 4.3663 5.6896
Pt 0.0000 0.0000 4.0907
Pt 0.0000 4.3663 0.0000
Pt 1.4617 2.2215 4.2563
Pt 1.4617 6.5112 4.2563
Pt 2.9234 0.0000 4.0907
Pt 2.9234 4.3663 0.0000
Pt 4.3851 2.2215 3.9251
Pt 4.3851 6.5112 3.9251
Au 1.4617 0.0000 6.6213
Au 1.4617 4.3663 5.9278
Au 4.3851 0.0000 1.5602
Au 4.3851 4.3663 2.2537
```

Calculated values
Formation energy = -0.2902 eV per atom
Magnetization = 0.00 μB/f.u.
Space-group type = Pmma, No. 51
Uncorrected energy = -85.2 eV per cell